# 1
! TbNd4Cu4 (GGA-PBE, optimized geometry); values from VASP
&SYSTEM
  ibrav = 0, nat = 18, ntyp = 3
/
ATOMIC_SPECIES
Tb 158.93 Tb.upf
Nd 144.24 Nd.upf
Cu 63.55 Cu.upf
ATOMIC_POSITIONS crystal
Tb 0.000 0.000 0.000
Tb 0.500 0.500 0.500
Nd 0.401 0.293 0.911
Nd 0.901 0.589 0.793
Nd 0.401 0.707 0.089
Nd 0.099 0.207 0.589
Nd 0.599 0.911 0.707
Nd 0.099 0.793 0.411
Nd 0.901 0.411 0.207
Nd 0.599 0.089 0.293
Cu 0.652 0.767 0.377
Cu 0.652 0.233 0.623
Cu 0.152 0.877 0.733
Cu 0.848 0.267 0.877
Cu 0.848 0.733 0.123
Cu 0.348 0.377 0.233
Cu 0.348 0.623 0.767
Cu 0.152 0.123 0.267
CELL_PARAMETERS angstrom
-4.032 3.492 -3.615
-5.154 -6.736 -0.757
-4.189 2.418 7.008
! Electronic total energy: -4.4640 eV/atom
! Formation energy: -10 meV/atom
! N(E_F): 19.01 states/eV per cell



# 2
! AcAl2Pd2Pt (GGA-PBE, optimized geometry); values from VASP
&SYSTEM
  ibrav = 0, nat = 6, ntyp = 4
/
ATOMIC_SPECIES
Ac 227.00 Ac.upf
Al 26.98 Al.upf
Pd 106.42 Pd.upf
Pt 195.08 Pt.upf
ATOMIC_POSITIONS crystal
Ac 0.000 0.000 0.500
Al 0.500 0.000 0.000
Al 0.000 0.500 0.000
Pd 0.500 0.500 0.748
Pd 0.500 0.500 0.252
Pt 0.000 0.000 0.000
CELL_PARAMETERS angstrom
4.734 0.000 0.000
0.000 4.734 0.000
0.000 0.000 5.814
! Electronic total energy: -5.3897 eV/atom
! Formation energy: -720 meV/atom
! N(E_F): 2.26 states/eV per cell



# 3
! MnMoRh2 (GGA-PBE, optimized geometry); values from VASP
&SYSTEM
  ibrav = 0, nat = 4, ntyp = 3
/
ATOMIC_SPECIES
Mn 54.94 Mn.upf
Mo 95.94 Mo.upf
Rh 102.91 Rh.upf
ATOMIC_POSITIONS crystal
Mn 0.500 0.000 0.500
Mo 0.000 0.500 0.500
Rh 0.000 0.000 0.000
Rh 0.500 0.500 0.000
CELL_PARAMETERS angstrom
-1.972 -2.954 -3.033
0.878 -2.303 3.968
-2.492 0.688 0.951
! Electronic total energy: -8.7766 eV/atom
! Formation energy: -101 meV/atom
! N(E_F): 4.50 states/eV per cell



# 4
! V3Ni4 (GGA-PBE, optimized geometry); values from VASP
&SYSTEM
  ibrav = 0, nat = 7, ntyp = 2
/
ATOMIC_SPECIES
V 50.94 V.upf
Ni 58.69 Ni.upf
ATOMIC_POSITIONS crystal
V 0.000 0.000 0.000
V 0.228 0.289 0.456
V 0.772 0.711 0.544
Ni 0.073 0.439 0.145
Ni 0.927 0.561 0.855
Ni 0.362 0.131 0.725
Ni 0.638 0.869 0.275
CELL_PARAMETERS angstrom
2.482 0.000 0.000
0.000 6.309 -0.472
-1.241 -3.275 5.638
! Electronic total energy: -7.1962 eV/atom
! Formation energy: 15 meV/atom
! N(E_F): 8.36 states/eV per cell



# 5
! Co3NiPt (GGA-PBE, optimized geometry); values from VASP
&SYSTEM
  ibrav = 0, nat = 10, ntyp = 3
/
ATOMIC_SPECIES
Co 58.93 Co.upf
Ni 58.69 Ni.upf
Pt 195.08 Pt.upf
ATOMIC_POSITIONS crystal
Co 0.250 0.942 0.252
Co 0.250 0.433 0.245
Co 0.250 0.351 0.908
Co 0.750 0.058 0.748
Co 0.750 0.649 0.092
Co 0.750 0.567 0.755
Ni 0.750 0.145 0.082
Ni 0.250 0.855 0.918
Pt 0.750 0.729 0.448
Pt 0.250 0.271 0.552
CELL_PARAMETERS angstrom
3.453 0.000 0.000
0.000 4.854 -0.869
0.000 0.118 7.508
! Electronic total energy: -6.5188 eV/atom
! Formation energy: 109 meV/atom
! N(E_F): 9.88 states/eV per cell



# 6
! YTe2SeI (GGA-PBE, optimized geometry); values from VASP
&SYSTEM
  ibrav = 0, nat = 5, ntyp = 4
/
ATOMIC_SPECIES
I 126.90 I.upf
Y 88.91 Y.upf
Te 127.60 Te.upf
Se 78.96 Se.upf
ATOMIC_POSITIONS crystal
I 0.000 0.000 0.500
Y 0.000 0.000 0.000
Te 0.000 0.500 0.000
Te 0.500 0.000 0.000
Se 0.500 0.500 0.500
CELL_PARAMETERS angstrom
5.935 0.000 0.000
0.000 5.935 0.000
0.000 0.000 5.918
! Electronic total energy: -3.5992 eV/atom
! N(E_F): 8.70 states/eV per cell
! Formation energy without anion corrections: -0.043 eV/atom



# 7
! LaAsRu2 (GGA-PBE, optimized geometry); values from VASP
&SYSTEM
  ibrav = 0, nat = 4, ntyp = 3
/
ATOMIC_SPECIES
Ru 101.07 Ru.upf
As 74.92 As.upf
La 138.91 La.upf
ATOMIC_POSITIONS crystal
Ru 0.000 0.000 0.000
Ru 0.250 0.250 0.250
As 0.500 0.500 0.500
La 0.750 0.750 0.750
CELL_PARAMETERS angstrom
4.768 0.000 0.000
2.384 4.129 0.000
2.384 1.376 3.893
! Electronic total energy: -6.8226 eV/atom
! Formation energy: 210 meV/atom
! N(E_F): 5.06 states/eV per cell



# 8
! Sr2ScNbBr (GGA-PBE, optimized geometry); values from VASP
&SYSTEM
  ibrav = 0, nat = 5, ntyp = 4
/
ATOMIC_SPECIES
Sc 44.96 Sc.upf
Sr 87.62 Sr.upf
Nb 92.91 Nb.upf
Br 79.90 Br.upf
ATOMIC_POSITIONS crystal
Sc 0.000 0.000 0.000
Sr 0.000 0.500 0.000
Sr 0.500 0.000 0.000
Nb 0.000 0.000 0.500
Br 0.500 0.500 0.500
CELL_PARAMETERS angstrom
6.534 0.000 0.000
0.000 6.534 0.000
0.000 0.000 4.716
! Electronic total energy: -3.6918 eV/atom
! N(E_F): 4.71 states/eV per cell
! Formation energy without anion corrections: 0.596 eV/atom



# 9
! LaCe2CuN4 (GGA-PBE, optimized geometry); values from VASP
&SYSTEM
  ibrav = 0, nat = 16, ntyp = 4
/
ATOMIC_SPECIES
La 138.91 La.upf
Ce 140.12 Ce.upf
Cu 63.55 Cu.upf
N 14.01 N.upf
ATOMIC_POSITIONS crystal
La 0.102 0.204 0.750
La 0.898 0.796 0.250
Ce 0.368 0.737 0.557
Ce 0.632 0.263 0.057
Ce 0.632 0.263 0.443
Ce 0.368 0.737 0.943
Cu 0.838 0.676 0.750
Cu 0.162 0.324 0.250
N 0.264 0.528 0.113
N 0.736 0.472 0.613
N 0.736 0.472 0.887
N 0.264 0.528 0.387
N 0.000 0.000 0.500
N 0.000 0.000 0.000
N 0.448 0.896 0.750
N 0.552 0.104 0.250
CELL_PARAMETERS angstrom
-2.683 0.668 -2.249
-0.351 -5.871 1.498
-6.909 2.722 9.052
! Electronic total energy: -7.9252 eV/atom
! Formation energy without anion corrections: -1.151 eV/atom



# 10
! SrBe2Si2 (GGA-PBE, optimized geometry); values from VASP
&SYSTEM
  ibrav = 0, nat = 10, ntyp = 3
/
ATOMIC_SPECIES
Sr 87.62 Sr.upf
Be 9.01 Be.upf
Si 28.09 Si.upf
ATOMIC_POSITIONS crystal
Sr 0.864 0.750 0.272
Sr 0.136 0.250 0.728
Be 0.486 0.750 0.027
Be 0.717 0.249 0.566
Be 0.514 0.250 0.973
Be 0.283 0.751 0.434
Si 0.621 0.353 0.235
Si 0.855 0.853 0.766
Si 0.145 0.147 0.234
Si 0.379 0.647 0.765
CELL_PARAMETERS angstrom
0.035 5.239 2.492
-2.852 1.373 5.305
4.708 1.219 4.130
! Electronic total energy: -4.1860 eV/atom
! N(E_F): 1.18 states/eV per cell
! Formation energy without anion corrections: -0.190 eV/atom



# 11
! ErThGe2Rh5 (GGA-PBE, optimized geometry); values from VASP
&SYSTEM
  ibrav = 0, nat = 9, ntyp = 4
/
ATOMIC_SPECIES
Er 167.26 Er.upf
Th 232.04 Th.upf
Ge 72.64 Ge.upf
Rh 102.91 Rh.upf
ATOMIC_POSITIONS crystal
Er 0.000 0.000 0.000
Th 0.000 0.000 0.500
Ge 0.500 0.500 0.138
Ge 0.500 0.500 0.862
Rh 0.000 0.500 0.267
Rh 0.500 0.000 0.267
Rh 0.000 0.500 0.733
Rh 0.500 0.000 0.733
Rh 0.500 0.500 0.500
CELL_PARAMETERS angstrom
-0.017 -0.161 4.195
-2.952 -2.981 -0.127
6.439 -6.367 -0.219
! Electronic total energy: -7.2815 eV/atom
! Formation energy: -840 meV/atom
! N(E_F): 4.57 states/eV per cell



# 12
! LiTaPb2 (GGA-PBE, optimized geometry); values from VASP
&SYSTEM
  ibrav = 0, nat = 8, ntyp = 3
/
ATOMIC_SPECIES
Pb 207.20 Pb.upf
Li 6.94 Li.upf
Ta 180.95 Ta.upf
ATOMIC_POSITIONS crystal
Pb 0.626 0.125 0.250
Pb 0.124 0.625 0.250
Pb 0.375 0.374 0.750
Pb 0.875 0.876 0.750
Li 0.500 0.500 0.000
Li 0.250 0.750 0.500
Ta 0.000 0.000 0.000
Ta 0.750 0.250 0.500
CELL_PARAMETERS angstrom
-2.023 4.075 -0.279
-1.099 -0.243 4.417
6.745 6.198 4.372
! Electronic total energy: -4.5411 eV/atom
! Formation energy: 755 meV/atom
! N(E_F): 6.75 states/eV per cell



# 13
! CeDyInIr (GGA-PBE, optimized geometry); values from VASP
&SYSTEM
  ibrav = 0, nat = 4, ntyp = 4
/
ATOMIC_SPECIES
Ir 192.22 Ir.upf
In 114.82 In.upf
Ce 140.12 Ce.upf
Dy 162.50 Dy.upf
ATOMIC_POSITIONS crystal
Ir 0.500 0.500 0.500
In 0.000 0.000 0.000
Ce 0.250 0.250 0.250
Dy 0.750 0.750 0.750
CELL_PARAMETERS angstrom
5.134 0.000 0.000
2.567 4.446 0.000
2.567 1.482 4.192
! Electronic total energy: -5.9673 eV/atom
! Formation energy: -433 meV/atom
! N(E_F): 6.78 states/eV per cell



# 14
! DySi2Ge2Pt7 (GGA-PBE, optimized geometry); values from VASP
&SYSTEM
  ibrav = 0, nat = 12, ntyp = 4
/
ATOMIC_SPECIES
Dy 162.50 Dy.upf
Si 28.09 Si.upf
Ge 72.64 Ge.upf
Pt 195.08 Pt.upf
ATOMIC_POSITIONS crystal
Dy 0.000 0.000 0.000
Si 0.574 0.574 0.750
Si 0.426 0.426 0.250
Ge 0.848 0.848 0.423
Ge 0.152 0.152 0.577
Pt 0.500 0.500 0.000
Pt 0.401 0.401 0.411
Pt 0.599 0.599 0.589
Pt 0.954 0.455 0.155
Pt 0.455 0.954 0.155
Pt 0.545 0.046 0.845
Pt 0.046 0.545 0.845
CELL_PARAMETERS angstrom
-1.356 -1.354 3.436
2.572 -2.973 -0.140
10.084 6.879 7.965
! Electronic total energy: -6.1988 eV/atom
! N(E_F): 4.16 states/eV per cell
! Formation energy without anion corrections: -0.618 eV/atom



# 15
! La3TcI3 (GGA-PBE, optimized geometry); values from VASP
&SYSTEM
  ibrav = 0, nat = 14, ntyp = 3
/
ATOMIC_SPECIES
La 138.91 La.upf
Tc 98.00 Tc.upf
I 126.90 I.upf
ATOMIC_POSITIONS crystal
La 0.250 0.321 0.628
La 0.750 0.679 0.372
La 0.250 0.910 0.613
La 0.750 0.090 0.387
La 0.250 0.878 0.168
La 0.750 0.122 0.832
Tc 0.250 0.880 0.357
Tc 0.750 0.120 0.643
I 0.250 0.386 0.370
I 0.750 0.614 0.630
I 0.250 0.869 0.880
I 0.750 0.131 0.120
I 0.250 0.374 0.882
I 0.750 0.626 0.118
CELL_PARAMETERS angstrom
4.343 0.000 0.000
0.000 9.619 -0.434
0.000 0.063 12.677
! Electronic total energy: -5.2475 eV/atom
! N(E_F): 4.87 states/eV per cell
! Formation energy without anion corrections: -0.991 eV/atom



# 16
! PrSm5Ho12 (GGA-PBE, optimized geometry); values from VASP
&SYSTEM
  ibrav = 0, nat = 18, ntyp = 3
/
ATOMIC_SPECIES
Pr 140.91 Pr.upf
Sm 150.36 Sm.upf
Ho 164.93 Ho.upf
ATOMIC_POSITIONS crystal
Pr 0.000 0.000 0.000
Sm 0.500 0.000 0.500
Sm 0.167 0.665 0.500
Sm 0.833 0.335 0.500
Sm 0.668 0.664 0.000
Sm 0.332 0.336 0.000
Ho 0.822 0.000 0.451
Ho 0.178 0.000 0.549
Ho 0.674 0.000 0.951
Ho 0.326 0.000 0.049
Ho 0.345 0.666 0.946
Ho 0.989 0.666 0.054
Ho 0.011 0.334 0.946
Ho 0.655 0.334 0.054
Ho 0.510 0.333 0.554
Ho 0.844 0.667 0.554
Ho 0.156 0.333 0.446
Ho 0.490 0.667 0.446
CELL_PARAMETERS angstrom
11.313 0.000 -0.003
5.656 8.651 -0.001
0.000 0.000 5.944
! Electronic total energy: -4.5230 eV/atom
! Formation energy: 105 meV/atom
! N(E_F): 31.36 states/eV per cell



# 17
! Ac2TlIn3 (GGA-PBE, optimized geometry); values from VASP
&SYSTEM
  ibrav = 0, nat = 6, ntyp = 3
/
ATOMIC_SPECIES
Ac 227.00 Ac.upf
Tl 204.38 Tl.upf
In 114.82 In.upf
ATOMIC_POSITIONS crystal
Ac 0.561 0.192 0.687
Ac 0.441 0.806 0.311
Tl 0.161 0.396 0.283
In 0.832 0.607 0.729
In 0.845 0.207 0.102
In 0.160 0.792 0.889
CELL_PARAMETERS angstrom
-1.175 -2.168 4.275
5.076 0.177 4.334
-1.579 4.522 4.707
! Electronic total energy: -3.5588 eV/atom
! Formation energy: -426 meV/atom
! N(E_F): 3.71 states/eV per cell



# 18
! Ba2CaAgPt (GGA-PBE, optimized geometry); values from VASP
&SYSTEM
  ibrav = 0, nat = 5, ntyp = 4
/
ATOMIC_SPECIES
Ag 107.87 Ag.upf
Ca 40.08 Ca.upf
Ba 137.33 Ba.upf
Pt 195.08 Pt.upf
ATOMIC_POSITIONS crystal
Ag 0.500 0.500 0.500
Ca 0.000 0.000 0.500
Ba 0.000 0.500 0.000
Ba 0.500 0.000 0.000
Pt 0.000 0.000 0.000
CELL_PARAMETERS angstrom
6.150 0.000 0.000
0.000 6.150 0.000
0.000 0.000 5.543
! Electronic total energy: -3.3036 eV/atom
! Formation energy: -356 meV/atom
! N(E_F): 3.16 states/eV per cell



# 19
! ScNiAs2Se (GGA-PBE, optimized geometry); values from VASP
&SYSTEM
  ibrav = 0, nat = 5, ntyp = 4
/
ATOMIC_SPECIES
Sc 44.96 Sc.upf
Ni 58.69 Ni.upf
As 74.92 As.upf
Se 78.96 Se.upf
ATOMIC_POSITIONS crystal
Sc 0.500 0.500 0.500
Ni 0.000 0.000 0.000
As 0.000 0.500 0.000
As 0.500 0.000 0.000
Se 0.000 0.000 0.500
CELL_PARAMETERS angstrom
-2.307 -2.952 2.562
-2.537 -1.133 -3.590
3.232 -3.538 -1.167
! Electronic total energy: -5.0763 eV/atom
! N(E_F): 3.76 states/eV per cell
! Formation energy without anion corrections: -0.097 eV/atom



# 20
! Sc4Ir5 (GGA-PBE, optimized geometry); values from VASP
&SYSTEM
  ibrav = 0, nat = 18, ntyp = 2
/
ATOMIC_SPECIES
Sc 44.96 Sc.upf
Ir 192.22 Ir.upf
ATOMIC_POSITIONS crystal
Sc 0.000 0.000 0.000
Sc 0.000 0.000 0.500
Sc 0.631 0.369 0.250
Sc 0.000 0.631 0.250
Sc 0.369 0.000 0.250
Sc 0.369 0.631 0.750
Sc 0.000 0.369 0.750
Sc 0.631 0.000 0.750
Ir 0.307 0.693 0.250
Ir 0.000 0.307 0.250
Ir 0.693 0.000 0.250
Ir 0.693 0.307 0.750
Ir 0.000 0.693 0.750
Ir 0.307 0.000 0.750
Ir 0.333 0.333 0.000
Ir 0.667 0.667 0.500
Ir 0.667 0.667 0.000
Ir 0.333 0.333 0.500
CELL_PARAMETERS angstrom
-7.207 -0.043 3.242
-5.600 -4.775 -2.879
1.616 -4.029 3.539
! Electronic total energy: -8.3707 eV/atom
! Formation energy: -634 meV/atom
! N(E_F): 16.19 states/eV per cell